Below is a PBEsol-optimized structure of MgTlAg2, with properties calculated at the meta-GGA SCAN level.

## Properties
- Density: 9.7 g/cm3
- V: 19.08 Å³ per atom
- Formation energy from the elements: -41 meV per atom

a = 4.3767 Å, b = 4.3767 Å, c = 7.9693 Å
α = 90.00°, β = 90.00°, γ = 90.00°
Space group I4/mmm (No. 139)
Symmetry-distinct sites (fractional):
Mg 0.0000 0.0000 0.0000 (multiplicity 2)
Tl 0.0000 0.0000 0.5000 (multiplicity 2)
Ag 0.0000 0.5000 0.2500 (multiplicity 4)